Entry 1:
AlCdAg2: relaxed, GGA-PBEsol.

Structure (CIF):
```
data_AlCdAg2
_chemical_formula_sum 'Al1 Cd1 Ag2'
_symmetry_space_group_name_H-M 'P 1'
_symmetry_Int_Tables_number 1
_cell_length_a 3.012
_cell_length_b 4.787
_cell_length_c 5.118
_cell_angle_alpha 104.45
_cell_angle_beta 107.11
_cell_angle_gamma 90.00
loop_
_symmetry_equiv_pos_as_xyz
'x,y,z'
loop_
_atom_site_label
_atom_site_type_symbol
_atom_site_fract_x
_atom_site_fract_y
_atom_site_fract_z
Al1 Al 0.507 0.524 0.013
Ag1 Ag 0.996 0.006 0.993
Ag2 Ag 0.244 0.731 0.489
Cd1 Cd 0.753 0.239 0.506
```

Results
- total energy (eV per atom) = -3.02

***

Entry 2:
AlCdAg: relaxed, GGA-PBEsol.

Structure (CIF):
```
data_AlCdAg
_chemical_formula_sum 'Al1 Cd1 Ag1'
_symmetry_space_group_name_H-M 'P 1'
_symmetry_Int_Tables_number 1
_cell_length_a 2.986
_cell_length_b 2.986
_cell_length_c 6.855
_cell_angle_alpha 90.00
_cell_angle_beta 90.00
_cell_angle_gamma 120.00
loop_
_symmetry_equiv_pos_as_xyz
'x,y,z'
loop_
_atom_site_label
_atom_site_type_symbol
_atom_site_fract_x
_atom_site_fract_y
_atom_site_fract_z
Cd1 Cd 0.667 0.333 0.332
Al1 Al 0.333 0.667 0.681
Ag1 Ag 0.000 0.000 0.987
```

Results
- relative energy among the computed polymorphs (eV per formula unit) = 0.00

***

Entry 3:
AlCdAg: relaxed, GGA-PBEsol.

Structure (CIF):
```
data_AlCdAg
_chemical_formula_sum 'Al1 Cd1 Ag1'
_symmetry_space_group_name_H-M 'P 1'
_symmetry_Int_Tables_number 1
_cell_length_a 3.068
_cell_length_b 4.520
_cell_length_c 4.520
_cell_angle_alpha 120.00
_cell_angle_beta 90.00
_cell_angle_gamma 90.00
loop_
_symmetry_equiv_pos_as_xyz
'x,y,z'
loop_
_atom_site_label
_atom_site_type_symbol
_atom_site_fract_x
_atom_site_fract_y
_atom_site_fract_z
Al1 Al 0.833 0.667 0.333
Cd1 Cd 0.333 0.333 0.667
Ag1 Ag 0.833 0.000 0.000
```

Results
- relative energy among the computed polymorphs (eV per formula unit) = 0.25

***

Entry 4:
AlCdAg2: relaxed, GGA-PBEsol.

Structure (CIF):
```
data_AlCdAg2
_chemical_formula_sum 'Al1 Cd1 Ag2'
_symmetry_space_group_name_H-M 'P 1'
_symmetry_Int_Tables_number 1
_cell_length_a 2.950
_cell_length_b 2.950
_cell_length_c 9.361
_cell_angle_alpha 80.93
_cell_angle_beta 80.93
_cell_angle_gamma 60.00
loop_
_symmetry_equiv_pos_as_xyz
'x,y,z'
loop_
_atom_site_label
_atom_site_type_symbol
_atom_site_fract_x
_atom_site_fract_y
_atom_site_fract_z
Al1 Al 0.495 0.495 0.514
Ag1 Ag 0.752 0.752 0.744
Ag2 Ag 0.002 0.002 0.993
Cd1 Cd 0.250 0.250 0.249
```

Results
- total energy (eV per atom) = -2.98

***

Entry 5:
Al2CdAg: relaxed, GGA-PBEsol.

Structure (CIF):
```
data_Al2CdAg
_chemical_formula_sum 'Al2 Cd1 Ag1'
_symmetry_space_group_name_H-M 'P 1'
_symmetry_Int_Tables_number 1
_cell_length_a 2.984
_cell_length_b 2.984
_cell_length_c 9.162
_cell_angle_alpha 80.78
_cell_angle_beta 80.78
_cell_angle_gamma 59.82
loop_
_symmetry_equiv_pos_as_xyz
'x,y,z'
loop_
_atom_site_label
_atom_site_type_symbol
_atom_site_fract_x
_atom_site_fract_y
_atom_site_fract_z
Ag1 Ag 0.255 0.255 0.236
Cd1 Cd 0.500 0.500 0.499
Al1 Al 0.999 0.999 0.004
Al2 Al 0.746 0.746 0.761
```

Results
- total energy (eV per atom) = -3.18

***

Entry 6:
AlCdAg2: relaxed, GGA-PBEsol.

Structure (CIF):
```
data_AlCdAg2
_chemical_formula_sum 'Al1 Cd1 Ag2'
_symmetry_space_group_name_H-M 'P 1'
_symmetry_Int_Tables_number 1
_cell_length_a 3.310
_cell_length_b 4.600
_cell_length_c 5.301
_cell_angle_alpha 115.71
_cell_angle_beta 108.19
_cell_angle_gamma 90.00
loop_
_symmetry_equiv_pos_as_xyz
'x,y,z'
loop_
_atom_site_label
_atom_site_type_symbol
_atom_site_fract_x
_atom_site_fract_y
_atom_site_fract_z
Ag1 Ag 0.765 0.765 0.530
Ag2 Ag 0.235 0.235 0.470
Cd1 Cd 0.000 0.500 0.000
Al1 Al 0.500 0.000 0.000
```

Results
- total energy (eV per atom) = -2.99

***

Entry 7:
AlCdAg2: relaxed, GGA-PBEsol.

Structure (CIF):
```
data_AlCdAg2
_chemical_formula_sum 'Al1 Cd1 Ag2'
_symmetry_space_group_name_H-M 'P 1'
_symmetry_Int_Tables_number 1
_cell_length_a 2.970
_cell_length_b 4.903
_cell_length_c 5.041
_cell_angle_alpha 101.74
_cell_angle_beta 90.00
_cell_angle_gamma 107.63
loop_
_symmetry_equiv_pos_as_xyz
'x,y,z'
loop_
_atom_site_label
_atom_site_type_symbol
_atom_site_fract_x
_atom_site_fract_y
_atom_site_fract_z
Ag1 Ag 0.741 0.482 0.738
Ag2 Ag 0.259 0.518 0.262
Cd1 Cd 0.500 0.000 0.000
Al1 Al 0.000 0.000 0.500
```

Results
- total energy (eV per atom) = -3.01

***

Entry 8:
AlCd2Ag: relaxed, GGA-PBEsol.

Structure (CIF):
```
data_AlCd2Ag
_chemical_formula_sum 'Al1 Cd2 Ag1'
_symmetry_space_group_name_H-M 'P 1'
_symmetry_Int_Tables_number 1
_cell_length_a 2.895
_cell_length_b 4.874
_cell_length_c 6.106
_cell_angle_alpha 113.52
_cell_angle_beta 103.71
_cell_angle_gamma 90.00
loop_
_symmetry_equiv_pos_as_xyz
'x,y,z'
loop_
_atom_site_label
_atom_site_type_symbol
_atom_site_fract_x
_atom_site_fract_y
_atom_site_fract_z
Cd1 Cd 0.225 0.725 0.451
Cd2 Cd 0.016 0.016 0.031
Ag1 Ag 0.484 0.484 0.967
Al1 Al 0.775 0.275 0.550
```

Results
- total energy (eV per atom) = -2.40

***

Entry 9:
AlCdAg: relaxed, GGA-PBEsol.

Structure (CIF):
```
data_AlCdAg
_chemical_formula_sum 'Al1 Cd1 Ag1'
_symmetry_space_group_name_H-M 'P 1'
_symmetry_Int_Tables_number 1
_cell_length_a 2.921
_cell_length_b 2.921
_cell_length_c 6.563
_cell_angle_alpha 102.86
_cell_angle_beta 102.86
_cell_angle_gamma 90.00
loop_
_symmetry_equiv_pos_as_xyz
'x,y,z'
loop_
_atom_site_label
_atom_site_type_symbol
_atom_site_fract_x
_atom_site_fract_y
_atom_site_fract_z
Al1 Al 0.657 0.657 0.315
Ag1 Ag 0.009 0.009 0.018
Cd1 Cd 0.334 0.334 0.668
```

Results
- relative energy among the computed polymorphs (eV per formula unit) = 0.06

***

Entry 10:
Al2CdAg: relaxed, GGA-PBEsol.

Structure (CIF):
```
data_Al2CdAg
_chemical_formula_sum 'Al2 Cd1 Ag1'
_symmetry_space_group_name_H-M 'P 1'
_symmetry_Int_Tables_number 1
_cell_length_a 2.898
_cell_length_b 2.898
_cell_length_c 8.289
_cell_angle_alpha 90.00
_cell_angle_beta 90.00
_cell_angle_gamma 90.00
loop_
_symmetry_equiv_pos_as_xyz
'x,y,z'
loop_
_atom_site_label
_atom_site_type_symbol
_atom_site_fract_x
_atom_site_fract_y
_atom_site_fract_z
Cd1 Cd 0.000 0.000 0.504
Al1 Al 0.000 0.000 0.994
Al2 Al 0.500 0.500 0.235
Ag1 Ag 0.500 0.500 0.767
```

Results
- total energy (eV per atom) = -3.16

***

Entry 11:
AlCdAg2: relaxed, GGA-PBEsol.

Structure (CIF):
```
data_AlCdAg2
_chemical_formula_sum 'Al1 Cd1 Ag2'
_symmetry_space_group_name_H-M 'P 1'
_symmetry_Int_Tables_number 1
_cell_length_a 2.874
_cell_length_b 4.342
_cell_length_c 5.650
_cell_angle_alpha 90.00
_cell_angle_beta 103.67
_cell_angle_gamma 90.00
loop_
_symmetry_equiv_pos_as_xyz
'x,y,z'
loop_
_atom_site_label
_atom_site_type_symbol
_atom_site_fract_x
_atom_site_fract_y
_atom_site_fract_z
Ag1 Ag 0.088 0.000 0.764
Ag2 Ag 0.912 0.000 0.236
Al1 Al 0.500 0.500 0.000
Cd1 Cd 0.500 0.500 0.500
```

Results
- total energy (eV per atom) = -3.00

***

Entry 12:
AlCd2Ag: relaxed, GGA-PBEsol.

Structure (CIF):
```
data_AlCd2Ag
_chemical_formula_sum 'Al1 Cd2 Ag1'
_symmetry_space_group_name_H-M 'P 1'
_symmetry_Int_Tables_number 1
_cell_length_a 3.021
_cell_length_b 4.940
_cell_length_c 5.326
_cell_angle_alpha 101.01
_cell_angle_beta 90.00
_cell_angle_gamma 107.80
loop_
_symmetry_equiv_pos_as_xyz
'x,y,z'
loop_
_atom_site_label
_atom_site_type_symbol
_atom_site_fract_x
_atom_site_fract_y
_atom_site_fract_z
Ag1 Ag 0.493 0.986 0.483
Cd1 Cd 0.005 0.010 0.006
Cd2 Cd 0.246 0.492 0.743
Al1 Al 0.756 0.512 0.268
```

Results
- total energy (eV per atom) = -2.42

***

Entry 13:
AlCd2Ag: relaxed, GGA-PBEsol.

Structure (CIF):
```
data_AlCd2Ag
_chemical_formula_sum 'Al1 Cd2 Ag1'
_symmetry_space_group_name_H-M 'P 1'
_symmetry_Int_Tables_number 1
_cell_length_a 3.002
_cell_length_b 3.002
_cell_length_c 9.598
_cell_angle_alpha 81.00
_cell_angle_beta 81.00
_cell_angle_gamma 60.00
loop_
_symmetry_equiv_pos_as_xyz
'x,y,z'
loop_
_atom_site_label
_atom_site_type_symbol
_atom_site_fract_x
_atom_site_fract_y
_atom_site_fract_z
Cd1 Cd 0.996 0.996 0.011
Cd2 Cd 0.754 0.754 0.738
Ag1 Ag 0.504 0.504 0.487
Al1 Al 0.245 0.245 0.265
```

Results
- total energy (eV per atom) = -2.44

***

Entry 14:
Al2CdAg: relaxed, GGA-PBEsol.

Structure (CIF):
```
data_Al2CdAg
_chemical_formula_sum 'Al2 Cd1 Ag1'
_symmetry_space_group_name_H-M 'P 1'
_symmetry_Int_Tables_number 1
_cell_length_a 3.053
_cell_length_b 4.755
_cell_length_c 5.182
_cell_angle_alpha 100.32
_cell_angle_beta 90.00
_cell_angle_gamma 108.73
loop_
_symmetry_equiv_pos_as_xyz
'x,y,z'
loop_
_atom_site_label
_atom_site_type_symbol
_atom_site_fract_x
_atom_site_fract_y
_atom_site_fract_z
Al1 Al 0.255 0.510 0.264
Al2 Al 0.745 0.490 0.736
Cd1 Cd 0.500 0.000 0.000
Ag1 Ag 0.000 0.000 0.500
```

Results
- total energy (eV per atom) = -3.15